A plane-wave DFT calculation with GGA-PBE was carried out for a geometry-optimized LiEr2Pu structure.

Results
SG	No. 123
energy of formation from the pure elements	0.1514	eV per atom
VASP energy	-0.22753	Ha/atom
N(E_F)	9.54	states/eV/f.u.
relative energy among the computed polymorphs	0.00	eV per formula unit

Lattice parameters (Å, degrees): 3.442 3.442 9.107 90.00 90.00 90.00
Atoms (fractional coordinates):
Er 0.000 0.000 0.763
Er 0.000 0.000 0.237
Li 0.500 0.500 0.000
Pu 0.500 0.500 0.500

***

A plane-wave DFT calculation with GGA-PBE was carried out for a geometry-optimized LiEr2Pu structure.

Results
SG	No. 123
energy of formation from the pure elements	0.1943	eV per atom
VASP energy	-0.22596	Ha/atom
N(E_F)	9.37	states/eV/f.u.
relative energy among the computed polymorphs	0.17	eV per formula unit

Lattice parameters (Å, degrees): 3.517 5.513 5.513 90.00 90.00 90.00
Atoms (fractional coordinates):
Er 0.000 0.000 0.500
Er 0.000 0.500 0.000
Li 0.500 0.500 0.500
Pu 0.500 0.000 0.000

***

A plane-wave DFT calculation with GGA-PBE was carried out for a geometry-optimized LiEr2Pu structure.

Results
SG	No. 160
energy of formation from the pure elements	0.1768	eV per atom
VASP energy	-0.22660	Ha/atom
N(E_F)	9.85	states/eV/f.u.
relative energy among the computed polymorphs	0.10	eV per formula unit

Lattice parameters (Å, degrees): 3.433 3.433 11.146 81.15 81.15 60.01
Atoms (fractional coordinates):
Li 0.666 0.666 0.000
Er 0.082 0.082 0.754
Er 0.251 0.251 0.246
Pu 0.500 0.500 0.500

***

What is the formula in the second record?
LiEr2Pu